Record 1
Density functional theory data (GGA-PBE) for a geometry-optimized AlCdFeSe4 structure.

uncorrected energy: -4.252 eV/atom
distance to the lowest polymorph of the same formula: 90 meV per atom

Cell: 7.671 7.671 10.380 Å, 90.00 90.00 90.00°
Each line ends with the local moment (μB).
Positions (direct):
Fe 0.754 0.000 0.250  0.96
Al 0.766 0.766 0.875  0.00
Se 0.220 0.518 0.481  0.01
Cd 0.500 0.735 0.500  0.00
Se 0.482 0.780 0.769  0.00
Se 0.780 0.482 0.981  0.01
Se 0.224 0.026 0.982  -0.01
Al 0.766 0.234 0.625  0.00
Se 0.974 0.224 0.232  -0.01
Se 0.026 0.776 0.732  -0.01
Fe 0.246 0.000 0.750  1.03
Se 0.974 0.776 0.268  -0.01
Se 0.518 0.220 0.269  0.00
Al 0.234 0.766 0.125  0.00
Se 0.026 0.224 0.768  -0.01
Se 0.482 0.220 0.731  0.00
Se 0.776 0.974 0.482  -0.01
Fe 0.000 0.246 0.000  0.96
Se 0.780 0.518 0.519  0.01
Fe 0.000 0.754 0.500  0.99
Al 0.234 0.234 0.375  0.00
Se 0.220 0.482 0.019  0.01
Se 0.776 0.026 0.018  -0.01
Cd 0.265 0.500 0.750  0.00
Se 0.518 0.780 0.231  0.00
Cd 0.735 0.500 0.250  0.00
Cd 0.500 0.265 0.000  0.00
Se 0.224 0.974 0.518  -0.01

Record 2
Density functional theory data (GGA-PBE) for a geometry-optimized MgTaGaOs structure.

uncorrected energy: -7.096 eV/atom
distance to the lowest polymorph of the same formula: 0 meV per atom

Cell: 4.460 4.460 4.460 Å, 60.00 60.00 60.00°
Positions (direct):
Mg 0.750 0.750 0.750
Os 0.250 0.250 0.250
Ta 0.500 0.500 0.500
Ga 0.000 0.000 0.000

Record 3
Density functional theory data (GGA-PBE) for a geometry-optimized TmNpSi structure.

uncorrected energy: -7.529 eV/atom
distance to the lowest polymorph of the same formula: 0 meV per atom

Cell: 4.791 4.791 4.791 Å, 60.00 60.00 60.00°
Positions (direct):
Si 0.000 0.000 0.000
Np 0.250 0.250 0.250
Tm 0.750 0.750 0.750

Record 4
Density functional theory data (GGA-PBE) for a geometry-optimized NbW7 structure.

calculated formation energy: -4 kJ per mole of atoms
uncorrected energy: -12.639 eV/atom

Cell: 4.519 4.519 6.401 Å, 90.00 90.00 90.00°
Positions (direct):
W 0.000 0.500 0.752
W 0.500 0.000 0.752
W 0.500 0.500 0.000
W 0.000 0.500 0.248
W 0.500 0.000 0.248
W 0.000 0.000 0.500
W 0.000 0.000 0.000
Nb 0.500 0.500 0.500

Record 5
Density functional theory data (GGA-PBE) for a geometry-optimized Er3SbSe2 structure.

uncorrected energy: -5.623 eV/atom

Cell: 4.152 4.152 10.063 Å, 90.00 90.00 120.00°
Positions (direct):
Er 0.333 0.667 0.180
Se 0.667 0.333 0.341
Er 0.000 0.000 0.500
Er 0.667 0.333 0.820
Sb 0.000 0.000 0.000
Se 0.333 0.667 0.659

Record 6
Density functional theory data (GGA-PBE) for a geometry-optimized GdPbSO structure.

uncorrected energy: -5.774 eV/atom
distance to the lowest polymorph of the same formula: 404 meV per atom

Cell: 10.152 10.152 10.152 Å, 26.17 26.17 26.17°
Positions (direct):
S 0.118 0.118 0.118
O 0.294 0.294 0.294
S 0.882 0.882 0.882
Gd 0.214 0.214 0.214
Pb 0.374 0.374 0.374
Gd 0.786 0.786 0.786
O 0.706 0.706 0.706
Pb 0.626 0.626 0.626

Please write out number 6 again, unchanged.
Density functional theory data (GGA-PBE) for a geometry-optimized GdPbSO structure.

uncorrected energy: -5.774 eV/atom
distance to the lowest polymorph of the same formula: 404 meV per atom

Cell: 10.152 10.152 10.152 Å, 26.17 26.17 26.17°
Positions (direct):
S 0.118 0.118 0.118
O 0.294 0.294 0.294
S 0.882 0.882 0.882
Gd 0.214 0.214 0.214
Pb 0.374 0.374 0.374
Gd 0.786 0.786 0.786
O 0.706 0.706 0.706
Pb 0.626 0.626 0.626

> What is the uncorrected energy in the second record?

-7.096 eV/atom